Record 1
The following is a PBE calculation of a relaxed TlCdSiO4 crystal, from Alexandria via LeMat-Bulk.

POSCAR file:
```
TlCdSiO4
1.0
-5.316 3.183 -2.210
-5.898 -2.202 1.225
-3.960 3.000 4.057
Tl Cd Si O
2 2 2 8
direct
0.000 0.000 0.000 Tl
0.000 0.500 0.500 Tl
0.500 0.000 0.500 Cd
0.000 0.000 0.500 Cd
0.622 0.628 0.128 Si
0.378 0.372 0.872 Si
0.728 0.745 0.800 O
0.272 0.700 0.755 O
0.728 0.300 0.245 O
0.272 0.255 0.200 O
0.308 0.736 0.236 O
0.721 0.736 0.236 O
0.279 0.264 0.764 O
0.692 0.264 0.764 O
```

- DOS(E_F) (states/eV/f.u.) = 1.47
- formation energy without anion corrections (eV per atom) = -1.48

***

Record 2
The following is a PBE calculation of a relaxed Tl3CdSi2O6 crystal, from Alexandria via LeMat-Bulk.

POSCAR file:
```
Tl3CdSi2O6
1.0
5.958 0.000 0.000
-2.979 5.160 0.000
0.000 0.000 7.364
Tl Cd Si O
3 1 2 6
direct
0.333 0.667 0.748 Tl
0.667 0.333 0.252 Tl
0.000 0.000 0.000 Tl
0.000 0.000 0.500 Cd
0.667 0.333 0.671 Si
0.333 0.667 0.329 Si
0.642 0.821 0.306 O
0.179 0.358 0.306 O
0.179 0.821 0.306 O
0.821 0.642 0.694 O
0.358 0.179 0.694 O
0.821 0.179 0.694 O
```

- DOS(E_F) (states/eV/f.u.) = 2.46
- formation energy without anion corrections (eV per atom) = -1.45

***

Record 3
The following is a PBE calculation of a relaxed UCdSiO6 crystal, from Alexandria via LeMat-Bulk.

POSCAR file:
```
UCdSiO6
1.0
5.242 0.000 0.000
-2.621 4.539 0.000
0.000 0.000 9.563
U Cd Si O
2 2 2 12
direct
0.333 0.667 0.250 U
0.667 0.333 0.750 U
0.000 0.000 0.000 Cd
0.000 0.000 0.500 Cd
0.667 0.333 0.250 Si
0.333 0.667 0.750 Si
0.655 0.614 0.144 O
0.960 0.345 0.144 O
0.345 0.960 0.644 O
0.040 0.655 0.856 O
0.386 0.345 0.356 O
0.960 0.614 0.356 O
0.614 0.960 0.856 O
0.655 0.040 0.356 O
0.040 0.386 0.644 O
0.386 0.040 0.144 O
0.614 0.655 0.644 O
0.345 0.386 0.856 O
```

- DOS(E_F) (states/eV/f.u.) = 0.00
- formation energy without anion corrections (eV per atom) = -2.39

***

Record 4
The following is a PBE calculation of a relaxed YCdSiO4 crystal, from Alexandria via LeMat-Bulk.

POSCAR file:
```
YCdSiO4
1.0
-2.263 -5.172 1.899
0.932 -5.176 -3.646
4.052 -4.301 2.457
Y Cd Si O
2 2 2 8
direct
0.000 0.000 0.000 Y
0.000 0.500 0.500 Y
0.500 0.000 0.500 Cd
0.000 0.000 0.500 Cd
0.637 0.613 0.113 Si
0.363 0.387 0.887 Si
0.743 0.704 0.811 O
0.257 0.689 0.796 O
0.743 0.311 0.204 O
0.257 0.296 0.189 O
0.297 0.724 0.224 O
0.755 0.724 0.224 O
0.245 0.276 0.776 O
0.703 0.276 0.776 O
```

- DOS(E_F) (states/eV/f.u.) = 1.75
- formation energy without anion corrections (eV per atom) = -2.35

***

Record 5
The following is a PBE calculation of a relaxed Y2CdSiO6 crystal, from Alexandria via LeMat-Bulk.

POSCAR file:
```
Y2CdSiO6
1.0
-4.073 -1.286 2.533
2.648 -3.889 2.284
1.392 3.224 3.876
Y Cd Si O
2 1 1 6
direct
0.990 0.500 0.000 Y
0.990 0.000 0.500 Y
0.538 0.500 0.500 Cd
0.613 0.000 0.000 Si
0.731 0.224 0.224 O
0.731 0.224 0.776 O
0.114 0.500 0.500 O
0.275 0.000 0.000 O
0.731 0.776 0.776 O
0.731 0.776 0.224 O
```

- DOS(E_F) (states/eV/f.u.) = 0.00
- formation energy without anion corrections (eV per atom) = -2.61

***

Record 6
The following is a PBE calculation of a relaxed ZrCdSi2O8 crystal, from Alexandria via LeMat-Bulk.

POSCAR file:
```
ZrCdSi2O8
1.0
-3.479 -3.685 2.139
3.471 -1.492 -3.999
4.385 -1.587 4.398
Zr Cd Si O
1 1 2 8
direct
0.000 0.000 0.000 Zr
0.000 0.000 0.500 Cd
0.667 0.333 0.284 Si
0.333 0.667 0.716 Si
0.831 0.169 0.209 O
0.831 0.661 0.209 O
0.339 0.169 0.209 O
0.661 0.831 0.791 O
0.333 0.667 0.458 O
0.667 0.333 0.542 O
0.169 0.831 0.791 O
0.169 0.339 0.791 O
```

- DOS(E_F) (states/eV/f.u.) = 9.13
- formation energy without anion corrections (eV per atom) = -2.11

***

Record 7
The following is a PBE calculation of a relaxed SmCdO crystal, from Alexandria via LeMat-Bulk.

POSCAR file:
```
SmCdO
1.0
3.773 0.000 0.000
0.000 3.773 0.000
-1.886 -1.886 8.937
Sm Cd O
2 2 2
direct
0.079 0.079 0.159 Sm
0.921 0.921 0.841 Sm
0.290 0.290 0.581 Cd
0.710 0.710 0.419 Cd
0.500 0.000 0.000 O
0.000 0.500 0.000 O
```

- DOS(E_F) (states/eV/f.u.) = 1.76
- polymorph energy (0 for the lowest one) (meV per atom) = 477
- formation energy without anion corrections (eV per atom) = -1.54

***

Record 8
The following is a PBE calculation of a relaxed Sm4Cd2O crystal, from Alexandria via LeMat-Bulk.

POSCAR file:
```
Sm4Cd2O
1.0
4.884 0.000 0.000
0.000 4.884 0.000
2.442 2.442 7.771
O Sm Cd
1 4 2
direct
0.000 0.000 0.000 O
0.828 0.828 0.345 Sm
0.172 0.172 0.655 Sm
0.000 0.500 0.000 Sm
0.500 0.000 0.000 Sm
0.631 0.631 0.738 Cd
0.369 0.369 0.262 Cd
```

- DOS(E_F) (states/eV/f.u.) = 3.03
- formation energy without anion corrections (eV per atom) = -0.91

***

Record 9
The following is a PBE calculation of a relaxed Sm3CdO crystal, from Alexandria via LeMat-Bulk.

POSCAR file:
```
Sm3CdO
1.0
-1.066 -4.095 -2.499
4.546 -0.046 -1.864
1.530 -2.716 3.799
O Sm Cd
1 3 1
direct
0.000 0.000 0.000 O
0.000 0.500 0.000 Sm
0.000 0.000 0.500 Sm
0.500 0.000 0.000 Sm
0.500 0.500 0.500 Cd
```

- DOS(E_F) (states/eV/f.u.) = 2.56
- formation energy without anion corrections (eV per atom) = -1.30

***

Record 10
The following is a PBE calculation of a relaxed SmCdO crystal, from Alexandria via LeMat-Bulk.

POSCAR file:
```
SmCdO
1.0
-0.901 3.101 2.361
-3.856 -0.360 -1.000
-1.150 -5.112 6.275
Sm Cd O
2 2 2
direct
0.250 0.750 0.361 Sm
0.750 0.250 0.639 Sm
0.250 0.750 0.922 Cd
0.750 0.250 0.078 Cd
0.750 0.750 0.500 O
0.250 0.250 0.500 O
```

- DOS(E_F) (states/eV/f.u.) = 1.26
- polymorph energy (0 for the lowest one) (meV per atom) = 0
- formation energy without anion corrections (eV per atom) = -2.01

***

Record 11
The following is a PBE calculation of a relaxed Tb2SmCdO crystal, from Alexandria via LeMat-Bulk.

POSCAR file:
```
Tb2SmCdO
1.0
-4.186 2.543 -0.306
-1.089 -1.249 4.522
2.265 3.925 1.629
Tb Sm Cd O
2 1 1 1
direct
0.000 0.000 0.500 Tb
0.000 0.500 0.000 Tb
0.500 0.000 0.000 Sm
0.500 0.500 0.500 Cd
0.000 0.000 0.000 O
```

- DOS(E_F) (states/eV/f.u.) = 2.36
- formation energy without anion corrections (eV per atom) = -1.31

***

Record 12
The following is a PBE calculation of a relaxed SmCd2TcO6 crystal, from Alexandria via LeMat-Bulk.

POSCAR file:
```
SmCd2TcO6
1.0
4.750 0.000 0.000
0.000 5.777 0.000
0.000 0.000 5.777
Sm Cd Tc O
1 2 1 6
direct
0.612 0.500 0.500 Sm
0.979 0.500 0.000 Cd
0.979 0.000 0.500 Cd
0.588 0.000 0.000 Tc
0.729 0.222 0.222 O
0.729 0.222 0.778 O
0.145 0.500 0.500 O
0.228 0.000 0.000 O
0.729 0.778 0.778 O
0.729 0.778 0.222 O
```

- DOS(E_F) (states/eV/f.u.) = 2.59
- formation energy without anion corrections (eV per atom) = -1.56

***

Computed values of V (unit: Å³/cell) for the preceding records, in sequence: 186 226 228 185 136 168 127 185 119 131 114 159.